# 1
DFT (PBE-GGA) results for a relaxed CaEuInSb crystal.

Values from the calculation:
- Formation energy (no corrections): -0.62 eV/atom
- Space group: F-43m, No. 216
- Mass density: 5.94 Mg/m³

Geometry as POSCAR:
```
CaEuInSb
1.0
7.824 0.000 0.000
0.000 7.824 0.000
0.000 0.000 7.824
Ca Eu In Sb
4 4 4 4
Direct
0.000 0.000 0.000
0.000 0.500 0.500
0.500 0.000 0.500
0.500 0.500 0.000
0.000 0.000 0.500
0.000 0.500 0.000
0.500 0.000 0.000
0.500 0.500 0.500
0.250 0.250 0.250
0.250 0.750 0.750
0.750 0.250 0.750
0.750 0.750 0.250
0.250 0.250 0.750
0.250 0.750 0.250
0.750 0.250 0.250
0.750 0.750 0.750
```

# 2
DFT (PBE-GGA) results for a relaxed CaEuInSi crystal.

Values from the calculation:
- Formation energy (no corrections): -0.34 eV/atom
- Space group: F-43m, No. 216
- Mass density: 5.23 Mg/m³

Geometry as POSCAR:
```
CaEuInSi
1.0
7.522 0.000 0.000
0.000 7.522 0.000
0.000 0.000 7.522
Ca Eu In Si
4 4 4 4
Direct
0.000 0.000 0.000
0.000 0.500 0.500
0.500 0.000 0.500
0.500 0.500 0.000
0.000 0.000 0.500
0.000 0.500 0.000
0.500 0.000 0.000
0.500 0.500 0.500
0.250 0.250 0.250
0.250 0.750 0.750
0.750 0.250 0.750
0.750 0.750 0.250
0.250 0.250 0.750
0.250 0.750 0.250
0.750 0.250 0.250
0.750 0.750 0.750
```

# 3
DFT (PBE-GGA) results for a relaxed SrCaEuIn crystal.

Values from the calculation:
- ΔE_f: -0.162 eV per atom
- Space group: F-43m, No. 216
- Mass density: 4.59 Mg/m³

Geometry as POSCAR:
```
SrCaEuIn
1.0
8.298 0.000 0.000
0.000 8.298 0.000
0.000 0.000 8.298
Sr Ca Eu In
4 4 4 4
Direct
0.000 0.000 0.000
0.000 0.500 0.500
0.500 0.000 0.500
0.500 0.500 0.000
0.000 0.000 0.500
0.000 0.500 0.000
0.500 0.000 0.000
0.500 0.500 0.500
0.250 0.250 0.750
0.250 0.750 0.250
0.750 0.250 0.250
0.750 0.750 0.750
0.250 0.250 0.250
0.250 0.750 0.750
0.750 0.250 0.750
0.750 0.750 0.250
```

# 4
DFT (PBE-GGA) results for a relaxed CaTbEuIn crystal.

Values from the calculation:
- ΔE_f: -0.157 eV per atom
- Space group: F-43m, No. 216
- Mass density: 6.13 Mg/m³

Geometry as POSCAR:
```
CaTbEuIn
1.0
7.962 0.000 0.000
0.000 7.962 0.000
0.000 0.000 7.962
Ca Tb Eu In
4 4 4 4
Direct
0.000 0.000 0.000
0.000 0.500 0.500
0.500 0.000 0.500
0.500 0.500 0.000
0.250 0.250 0.250
0.250 0.750 0.750
0.750 0.250 0.750
0.750 0.750 0.250
0.250 0.250 0.750
0.250 0.750 0.250
0.750 0.250 0.250
0.750 0.750 0.750
0.000 0.000 0.500
0.000 0.500 0.000
0.500 0.000 0.000
0.500 0.500 0.500
```

# 5
DFT (PBE-GGA) results for a relaxed CaEuTlIn crystal.

Values from the calculation:
- ΔE_f: -0.464 eV per atom
- Space group: F-43m, No. 216
- Mass density: 7.05 Mg/m³

Geometry as POSCAR:
```
CaEuTlIn
1.0
7.839 0.000 0.000
0.000 7.839 0.000
0.000 0.000 7.839
Ca Eu Tl In
4 4 4 4
Direct
0.000 0.000 0.000
0.000 0.500 0.500
0.500 0.000 0.500
0.500 0.500 0.000
0.000 0.000 0.500
0.000 0.500 0.000
0.500 0.000 0.000
0.500 0.500 0.500
0.250 0.250 0.750
0.250 0.750 0.250
0.750 0.250 0.250
0.750 0.750 0.750
0.250 0.250 0.250
0.250 0.750 0.750
0.750 0.250 0.750
0.750 0.750 0.250
```

# 6
DFT (PBE-GGA) results for a relaxed CaEuYIn crystal.

Values from the calculation:
- ΔE_f: -0.133 eV per atom
- Space group: F-43m, No. 216
- Mass density: 5.25 Mg/m³

Geometry as POSCAR:
```
CaEuYIn
1.0
7.942 0.000 0.000
0.000 7.942 0.000
0.000 0.000 7.942
Ca Eu Y In
4 4 4 4
Direct
0.000 0.000 0.000
0.000 0.500 0.500
0.500 0.000 0.500
0.500 0.500 0.000
0.250 0.250 0.250
0.250 0.750 0.750
0.750 0.250 0.750
0.750 0.750 0.250
0.000 0.000 0.500
0.000 0.500 0.000
0.500 0.000 0.000
0.500 0.500 0.500
0.250 0.250 0.750
0.250 0.750 0.250
0.750 0.250 0.250
0.750 0.750 0.750
```

# 7
DFT (PBE-GGA) results for a relaxed CaEuZnIn crystal.

Values from the calculation:
- ΔE_f: -0.364 eV per atom
- Space group: F-43m, No. 216
- Mass density: 5.54 Mg/m³

Geometry as POSCAR:
```
CaEuZnIn
1.0
7.643 0.000 0.000
0.000 7.643 0.000
0.000 0.000 7.643
Ca Eu Zn In
4 4 4 4
Direct
0.000 0.000 0.000
0.000 0.500 0.500
0.500 0.000 0.500
0.500 0.500 0.000
0.000 0.000 0.500
0.000 0.500 0.000
0.500 0.000 0.000
0.500 0.500 0.500
0.250 0.250 0.750
0.250 0.750 0.250
0.750 0.250 0.250
0.750 0.750 0.750
0.250 0.250 0.250
0.250 0.750 0.750
0.750 0.250 0.750
0.750 0.750 0.250
```

# 8
DFT (PBE-GGA) results for a relaxed CaEuIr crystal.

Values from the calculation:
- ΔE_f: -0.266 eV per atom
- Space group: F-43m, No. 216
- Mass density: 7.60 Mg/m³

Geometry as POSCAR:
```
CaEuIr
1.0
6.950 0.000 0.000
0.000 6.950 0.000
0.000 0.000 6.950
Ca Eu Ir
4 4 4
Direct
0.000 0.000 0.000
0.000 0.500 0.500
0.500 0.000 0.500
0.500 0.500 0.000
0.000 0.000 0.500
0.000 0.500 0.000
0.500 0.000 0.000
0.500 0.500 0.500
0.250 0.250 0.250
0.250 0.750 0.750
0.750 0.250 0.750
0.750 0.750 0.250
```

# 9
DFT (PBE-GGA) results for a relaxed CaEuIr crystal.

Values from the calculation:
- ΔE_f: -0.249 eV per atom
- Space group: I4mm, No. 107
- Mass density: 7.60 Mg/m³

Geometry as POSCAR:
```
CaEuIr
1.0
3.511 0.000 0.000
0.000 3.511 0.000
0.000 0.000 13.617
Ca Eu Ir
2 2 2
Direct
0.000 0.000 0.000
0.500 0.500 0.500
0.000 0.000 0.244
0.500 0.500 0.744
0.000 0.000 0.622
0.500 0.500 0.122
```

# 10
DFT (PBE-GGA) results for a relaxed CaEuIr crystal.

Values from the calculation:
- ΔE_f: -0.135 eV per atom
- Space group: P3m1, No. 156
- Mass density: 6.59 Mg/m³

Geometry as POSCAR:
```
CaEuIr
1.0
4.195 0.000 0.000
-2.098 3.633 0.000
0.000 0.000 6.350
Ca Eu Ir
1 1 1
Direct
0.000 0.000 0.000
0.667 0.333 0.536
0.333 0.667 0.767
```

# 11
DFT (PBE-GGA) results for a relaxed CaEuNiIr crystal.

Values from the calculation:
- ΔE_f: -0.091 eV per atom
- Space group: F-43m, No. 216
- Mass density: 8.85 Mg/m³

Geometry as POSCAR:
```
CaEuNiIr
1.0
6.927 0.000 0.000
0.000 6.927 0.000
0.000 0.000 6.927
Ca Eu Ni Ir
4 4 4 4
Direct
0.000 0.000 0.000
0.000 0.500 0.500
0.500 0.000 0.500
0.500 0.500 0.000
0.000 0.000 0.500
0.000 0.500 0.000
0.500 0.000 0.000
0.500 0.500 0.500
0.250 0.250 0.250
0.250 0.750 0.750
0.750 0.250 0.750
0.750 0.750 0.250
0.250 0.250 0.750
0.250 0.750 0.250
0.750 0.250 0.250
0.750 0.750 0.750
```

# 12
DFT (PBE-GGA) results for a relaxed CaPmEuIr crystal.

Values from the calculation:
- ΔE_f: -0.065 eV per atom
- Space group: F-43m, No. 216
- Mass density: 8.56 Mg/m³

Geometry as POSCAR:
```
CaPmEuIr
1.0
7.434 0.000 0.000
0.000 7.434 0.000
0.000 0.000 7.434
Ca Pm Eu Ir
4 4 4 4
Direct
0.000 0.000 0.000
0.000 0.500 0.500
0.500 0.000 0.500
0.500 0.500 0.000
0.250 0.250 0.250
0.250 0.750 0.750
0.750 0.250 0.750
0.750 0.750 0.250
0.250 0.250 0.750
0.250 0.750 0.250
0.750 0.250 0.250
0.750 0.750 0.750
0.000 0.000 0.500
0.000 0.500 0.000
0.500 0.000 0.000
0.500 0.500 0.500
```

# 13
DFT (PBE-GGA) results for a relaxed CaEuIrRh crystal.

Values from the calculation:
- ΔE_f: -0.210 eV per atom
- Space group: F-43m, No. 216
- Mass density: 9.77 Mg/m³

Geometry as POSCAR:
```
CaEuIrRh
1.0
6.919 0.000 0.000
0.000 6.919 0.000
0.000 0.000 6.919
Ca Eu Ir Rh
4 4 4 4
Direct
0.000 0.000 0.000
0.000 0.500 0.500
0.500 0.000 0.500
0.500 0.500 0.000
0.000 0.000 0.500
0.000 0.500 0.000
0.500 0.000 0.000
0.500 0.500 0.500
0.250 0.250 0.750
0.250 0.750 0.250
0.750 0.250 0.250
0.750 0.750 0.750
0.250 0.250 0.250
0.250 0.750 0.750
0.750 0.250 0.750
0.750 0.750 0.250
```

# 14
DFT (PBE-GGA) results for a relaxed CaEuTlIr crystal.

Values from the calculation:
- ΔE_f: -0.216 eV per atom
- Space group: F-43m, No. 216
- Mass density: 9.90 Mg/m³

Geometry as POSCAR:
```
CaEuTlIr
1.0
7.337 0.000 0.000
0.000 7.337 0.000
0.000 0.000 7.337
Ca Eu Tl Ir
4 4 4 4
Direct
0.000 0.000 0.000
0.000 0.500 0.500
0.500 0.000 0.500
0.500 0.500 0.000
0.000 0.000 0.500
0.000 0.500 0.000
0.500 0.000 0.000
0.500 0.500 0.500
0.250 0.250 0.750
0.250 0.750 0.250
0.750 0.250 0.250
0.750 0.750 0.750
0.250 0.250 0.250
0.250 0.750 0.750
0.750 0.250 0.750
0.750 0.750 0.250
```

# 15
DFT (PBE-GGA) results for a relaxed KCaEu2 crystal.

Values from the calculation:
- ΔE_f: 0.093 eV per atom
- Space group: R-3m, No. 166
- Mass density: 3.31 Mg/m³

Geometry as POSCAR:
```
KCaEu2
1.0
3.999 0.000 0.000
-1.999 3.463 0.000
0.000 0.000 41.609
K Ca Eu
3 3 6
Direct
0.000 0.000 0.000
0.333 0.667 0.667
0.667 0.333 0.333
0.000 0.000 0.500
0.333 0.667 0.167
0.667 0.333 0.833
0.000 0.000 0.243
0.000 0.000 0.757
0.333 0.667 0.424
0.333 0.667 0.910
0.667 0.333 0.090
0.667 0.333 0.576
```

# 16
DFT (PBE-GGA) results for a relaxed KCa4Eu crystal.

Values from the calculation:
- ΔE_f: 0.149 eV per atom
- Space group: F-43m, No. 216
- Mass density: 1.99 Mg/m³

Geometry as POSCAR:
```
KCa4Eu
1.0
0.000 5.269 5.269
5.269 0.000 5.269
5.269 5.269 0.000
K Ca Eu
1 4 1
Direct
0.000 0.000 0.000
0.127 0.624 0.624
0.624 0.127 0.624
0.624 0.624 0.127
0.624 0.624 0.624
0.250 0.250 0.250
```